No. 1
{
  "formula": "BeBr2Cl",
  "functional": "SCAN",
  "state": "single point on PBEsol structure",
  "lattice_angstrom": [[-1.7271, 0.9848, -4.1311], [1.0015, -4.4125, 0.7390], [-4.5515, 0.9105, 3.5591]],
  "species": ["Be", "Br", "Br", "Cl"],
  "frac_coords": [[0.0000, 0.0000, 0.0000], [0.5000, 0.0000, 0.5000], [0.0000, 0.5000, 0.5000], [0.5000, 0.5000, 0.0000]],
  "m_tot_mub_per_atom": 0.000,
  "formation_energy_uncorrected_mev_per_atom": 270,
  "spacegroup": "No. 69",
  "mass_density_g_cm3": 3.4
}

No. 2
{
  "formula": "Re2RuPbSe",
  "functional": "SCAN",
  "state": "single point on PBEsol structure",
  "lattice_angstrom": [[-0.3492, 1.4815, -4.7979], [2.6063, -4.0574, -1.4426], [-4.3781, -2.6362, -0.4954]],
  "species": ["Re", "Re", "Pb", "Ru", "Se"],
  "frac_coords": [[0.5000, 0.0000, 0.0000], [0.0000, 0.5000, 0.0000], [0.0000, 0.0000, 0.0000], [0.5000, 0.5000, 0.5000], [0.0000, 0.0000, 0.5000]],
  "m_tot_mub_per_atom": 1.736,
  "formation_energy_uncorrected_mev_per_atom": 3272,
  "spacegroup": "No. 123",
  "mass_density_g_cm3": 9.7
}

No. 3
{
  "formula": "LiMg2Tc",
  "functional": "SCAN",
  "state": "single point on PBEsol structure",
  "lattice_angstrom": [[2.7397, 0.0000, 0.0000], [0.0000, 4.0938, 0.0000], [0.0000, 0.0000, 5.9454]],
  "species": ["Mg", "Li", "Tc", "Mg"],
  "frac_coords": [[0.0000, 0.0000, 0.2342], [0.5000, 0.5000, 0.5000], [0.5000, 0.5000, 0.0000], [0.0000, 0.0000, 0.7658]],
  "m_tot_mub_per_atom": 0.151,
  "spacegroup": "No. 47",
  "ef_ev_per_atom": 0.21,
  "mass_density_g_cm3": 3.8
}

No. 4
{
  "formula": "ZrMnIn",
  "functional": "SCAN",
  "state": "single point on PBEsol structure",
  "lattice_angstrom": [[3.0837, 0.0000, 0.0000], [0.0000, 4.6024, 0.0000], [0.0000, -2.3012, 3.9858]],
  "species": ["Zr", "In", "Mn"],
  "frac_coords": [[0.3333, 0.3333, 0.6667], [0.8333, 0.0000, 0.0000], [0.8334, 0.6667, 0.3333]],
  "m_tot_mub_per_atom": 1.272,
  "spacegroup": "No. 187",
  "ef_ev_per_atom": -0.22,
  "mass_density_g_cm3": 7.7
}

No. 5
{
  "formula": "ZnFeCl2",
  "functional": "SCAN",
  "state": "single point on PBEsol structure",
  "lattice_angstrom": [[-0.1104, -3.4968, -0.1222], [1.2280, -0.1532, 3.2747], [-6.0017, 1.9253, 0.4696]],
  "species": ["Fe", "Cl", "Cl", "Zn"],
  "frac_coords": [[0.5000, 0.5000, 0.0000], [0.7500, 0.2500, 0.5000], [0.0000, 0.0000, 0.0000], [0.2500, 0.7500, 0.5000]],
  "m_tot_mub_per_atom": 0.743,
  "formation_energy_uncorrected_mev_per_atom": -30,
  "spacegroup": "No. 119",
  "mass_density_g_cm3": 4.5
}

No. 6
{
  "formula": "SiGe2Bi",
  "functional": "SCAN",
  "state": "single point on PBEsol structure",
  "lattice_angstrom": [[-0.7678, 4.1484, -2.4885], [-4.1390, 2.5306, 0.6752], [0.1157, 4.3087, 2.3266]],
  "species": ["Si", "Bi", "Ge", "Ge"],
  "frac_coords": [[0.0000, 0.0000, 0.0000], [0.5000, 0.5000, 0.5000], [0.7500, 0.7500, 0.7500], [0.2500, 0.2500, 0.2500]],
  "m_tot_mub_per_atom": 0.000,
  "formation_energy_uncorrected_mev_per_atom": 629,
  "spacegroup": "No. 225",
  "mass_density_g_cm3": 7.6
}

> Which formula does entry 5 have?

ZnFeCl2